No. 1
A geometry-optimized MgAlMo2 structure, computed with PBE-GGA.

```
data_MgAlMo2
_cell_length_a 2.774
_cell_length_b 4.499
_cell_length_c 5.262
_cell_angle_alpha 90.00
_cell_angle_beta 97.78
_cell_angle_gamma 90.00
_space_group_name_H-M_alt 'P 1 m 1'
_space_group_IT_number 6
loop_
_space_group_symop_operation_xyz
'x,y,z'
'x,-y,z'
loop_
_atom_site_label
_atom_site_type_symbol
_atom_site_fract_x
_atom_site_fract_y
_atom_site_fract_z
Mg1 Mg 0.000 0.000 0.000
Al1 Al 0.185 0.500 0.732
Mo1 Mo 0.503 0.000 0.490
Mo2 Mo 0.665 0.500 0.253
```

ρ: 6.21 g cm⁻³
density of states at the Fermi level: 1.71 states/eV per cell
total energy: -6.7135 eV per atom
formation energy from the elements: 0.036 eV per atom

---

No. 2
A geometry-optimized BeTcSb2Te structure, computed with PBE-GGA.

```
data_BeTcSb2Te
_cell_length_a 5.069
_cell_length_b 5.069
_cell_length_c 5.459
_cell_angle_alpha 90.00
_cell_angle_beta 90.00
_cell_angle_gamma 90.00
_space_group_name_H-M_alt 'P 4/m m m'
_space_group_IT_number 123
_space_group_name_Hall '-P 4 2'
loop_
_atom_site_label
_atom_site_type_symbol
_atom_site_fract_x
_atom_site_fract_y
_atom_site_fract_z
Be1 Be 0.000 0.000 0.000
Tc1 Tc 0.500 0.500 0.500
Sb1 Sb 0.000 0.500 0.500
Te1 Te 0.500 0.500 0.000
```

ρ: 5.66 g cm⁻³
density of states at the Fermi level: 5.09 states/eV per cell
total energy: -4.1455 eV per atom
energy relative to the elements, uncorrected: 0.950 eV/atom

---

No. 3
A geometry-optimized Y3Sb5 structure, computed with PBE-GGA.

```
data_Y3Sb5
_cell_length_a 9.1512
_cell_length_b 9.1512
_cell_length_c 6.1012
_cell_angle_alpha 90.00
_cell_angle_beta 90.00
_cell_angle_gamma 120.00
_space_group_name_H-M_alt 'P 63/m c m'
_space_group_IT_number 193
_space_group_name_Hall '-P 6c 2'
loop_
_atom_site_label
_atom_site_type_symbol
_atom_site_fract_x
_atom_site_fract_y
_atom_site_fract_z
Y1 Y 0.0000 0.3823 0.2500
Sb1 Sb 0.0000 0.2286 0.7500
Sb2 Sb 0.3333 0.6667 0.0000
```

ρ: 6.57 g cm⁻³
density of states at the Fermi level: 12.67 states/eV per cell
total energy: -5.6650 eV per atom
energy relative to the elements, uncorrected: -0.664 eV/atom

---

No. 4
A geometry-optimized Nb2SiTeO structure, computed with PBE-GGA.

```
data_Nb2SiTeO
_cell_length_a 5.004
_cell_length_b 5.004
_cell_length_c 3.525
_cell_angle_alpha 90.00
_cell_angle_beta 90.00
_cell_angle_gamma 90.00
_space_group_name_H-M_alt 'P 4/m m m'
_space_group_IT_number 123
_space_group_name_Hall '-P 4 2'
loop_
_atom_site_label
_atom_site_type_symbol
_atom_site_fract_x
_atom_site_fract_y
_atom_site_fract_z
Nb1 Nb 0.000 0.500 0.000
Si1 Si 0.000 0.000 0.000
Te1 Te 0.500 0.500 0.500
O1 O 0.000 0.000 0.500
```

ρ: 6.72 g cm⁻³
density of states at the Fermi level: 6.54 states/eV per cell
total energy: -6.7315 eV per atom
energy relative to the elements, uncorrected: 0.001 eV/atom

---

No. 5
A geometry-optimized Sr2BeOs structure, computed with PBE-GGA.

```
data_Sr2BeOs
_cell_length_a 4.073
_cell_length_b 4.666
_cell_length_c 11.093
_cell_angle_alpha 90.00
_cell_angle_beta 90.00
_cell_angle_gamma 90.00
_space_group_name_H-M_alt 'A m m 2'
_space_group_IT_number 38
loop_
_space_group_symop_operation_xyz
'x,y,z'
'-x,-y,z'
'-x,y,z'
'x,-y,z'
'x,y+1/2,z+1/2'
'-x,-y+1/2,z+1/2'
'-x,y+1/2,z+1/2'
'x,-y+1/2,z+1/2'
loop_
_atom_site_label
_atom_site_type_symbol
_atom_site_fract_x
_atom_site_fract_y
_atom_site_fract_z
Sr1 Sr 0.000 0.000 0.000
Sr2 Sr 0.500 0.000 0.281
Be1 Be 0.000 0.000 0.679
Os1 Os 0.500 0.000 0.600
```

ρ: 5.90 g cm⁻³
density of states at the Fermi level: 4.10 states/eV per cell
total energy: -4.3006 eV per atom
formation energy from the elements: 0.279 eV per atom

---

No. 6
A geometry-optimized KCu3 structure, computed with PBE-GGA.

```
data_KCu3
_cell_length_a 7.222
_cell_length_b 12.493
_cell_length_c 4.098
_cell_angle_alpha 90.00
_cell_angle_beta 90.00
_cell_angle_gamma 90.00
_space_group_name_H-M_alt 'C m c m'
_space_group_IT_number 63
_space_group_name_Hall '-C 2c 2'
loop_
_atom_site_label
_atom_site_type_symbol
_atom_site_fract_x
_atom_site_fract_y
_atom_site_fract_z
K1 K 0.000 0.166 0.250
Cu1 Cu 0.000 0.386 0.750
Cu2 Cu 0.171 0.443 0.250
```

ρ: 4.13 g cm⁻³
density of states at the Fermi level: 4.44 states/eV per cell
total energy: -3.0023 eV per atom
formation energy from the elements: 0.344 eV per atom

---

No. 7
A geometry-optimized MgTc2Pb structure, computed with PBE-GGA.

```
data_MgTc2Pb
_cell_length_a 3.022
_cell_length_b 4.207
_cell_length_c 5.991
_cell_angle_alpha 90.00
_cell_angle_beta 90.00
_cell_angle_gamma 90.00
_space_group_name_H-M_alt 'P m m m'
_space_group_IT_number 47
loop_
_space_group_symop_operation_xyz
'x,y,z'
'-x,-y,-z'
'-x,-y,z'
'x,y,-z'
'x,-y,-z'
'-x,y,z'
'-x,y,-z'
'x,-y,z'
loop_
_atom_site_label
_atom_site_type_symbol
_atom_site_fract_x
_atom_site_fract_y
_atom_site_fract_z
Mg1 Mg 0.000 0.000 0.000
Tc1 Tc 0.500 0.500 0.189
Pb1 Pb 0.000 0.000 0.500
```

ρ: 9.32 g cm⁻³
density of states at the Fermi level: 3.34 states/eV per cell
total energy: -5.9791 eV per atom
formation energy from the elements: 0.530 eV per atom

---

No. 8
A geometry-optimized Tm3SiNi2 structure, computed with PBE-GGA.

```
data_Tm3SiNi2
_cell_length_a 11.212
_cell_length_b 3.945
_cell_length_c 11.114
_cell_angle_alpha 90.00
_cell_angle_beta 90.00
_cell_angle_gamma 90.00
_space_group_name_H-M_alt 'P n m a'
_space_group_IT_number 62
loop_
_space_group_symop_operation_xyz
'x,y,z'
'-x,-y,-z'
'-x+1/2,-y,z+1/2'
'x+1/2,y,-z+1/2'
'x+1/2,-y+1/2,-z+1/2'
'-x+1/2,y+1/2,z+1/2'
'-x,y+1/2,-z'
'x,-y+1/2,z'
loop_
_atom_site_label
_atom_site_type_symbol
_atom_site_fract_x
_atom_site_fract_y
_atom_site_fract_z
Tm1 Tm 0.060 0.250 0.120
Tm2 Tm 0.118 0.750 0.564
Tm3 Tm 0.192 0.250 0.815
Si1 Si 0.128 0.250 0.370
Ni1 Ni 0.033 0.750 0.311
Ni2 Ni 0.192 0.750 0.989
```

ρ: 8.81 g cm⁻³
density of states at the Fermi level: 20.43 states/eV per cell
total energy: -5.5971 eV per atom
energy relative to the elements, uncorrected: -0.530 eV/atom

---

No. 9
A geometry-optimized Cr2NiB2 structure, computed with PBE-GGA.

```
data_Cr2NiB2
_cell_length_a 2.915
_cell_length_b 10.360
_cell_length_c 2.969
_cell_angle_alpha 90.00
_cell_angle_beta 90.00
_cell_angle_gamma 90.00
_space_group_name_H-M_alt 'C m m m'
_space_group_IT_number 65
_space_group_name_Hall '-C 2 2'
loop_
_atom_site_label
_atom_site_type_symbol
_atom_site_fract_x
_atom_site_fract_y
_atom_site_fract_z
Cr1 Cr 0.000 0.142 0.000
Ni1 Ni 0.000 0.500 0.500
B1 B 0.000 0.298 0.500
```

ρ: 6.83 g cm⁻³
density of states at the Fermi level: 9.31 states/eV per cell
total energy: -8.0354 eV per atom
formation energy from the elements: -0.359 eV per atom

---

No. 10
A geometry-optimized SrBAsSe2 structure, computed with PBE-GGA.

```
data_SrBAsSe2
_cell_length_a 5.789
_cell_length_b 5.789
_cell_length_c 5.870
_cell_angle_alpha 90.00
_cell_angle_beta 90.00
_cell_angle_gamma 90.00
_space_group_name_H-M_alt 'P 4/m m m'
_space_group_IT_number 123
_space_group_name_Hall '-P 4 2'
loop_
_atom_site_label
_atom_site_type_symbol
_atom_site_fract_x
_atom_site_fract_y
_atom_site_fract_z
Sr1 Sr 0.000 0.000 0.000
B1 B 0.500 0.500 0.500
As1 As 0.000 0.000 0.500
Se1 Se 0.000 0.500 0.000
```

ρ: 2.80 g cm⁻³
density of states at the Fermi level: 6.52 states/eV per cell
total energy: -2.6321 eV per atom
energy relative to the elements, uncorrected: 1.363 eV/atom

---

No. 11
A geometry-optimized Nd4ThN4 structure, computed with PBE-GGA.

```
data_Nd4ThN4
_cell_length_a 5.183
_cell_length_b 6.338
_cell_length_c 6.338
_cell_angle_alpha 80.44
_cell_angle_beta 65.97
_cell_angle_gamma 65.95
_space_group_name_H-M_alt 'P -1'
_space_group_IT_number 2
loop_
_space_group_symop_operation_xyz
'x,y,z'
'-x,-y,-z'
loop_
_atom_site_label
_atom_site_type_symbol
_atom_site_fract_x
_atom_site_fract_y
_atom_site_fract_z
Nd1 Nd 0.107 0.205 0.081
Nd2 Nd 0.312 0.581 0.295
Th1 Th 0.500 0.000 0.500
N1 N 0.212 0.379 0.696
N2 N 0.408 0.804 0.879
```

ρ: 8.27 g cm⁻³
density of states at the Fermi level: 2.65 states/eV per cell
total energy: -7.8906 eV per atom
energy relative to the elements, uncorrected: -1.247 eV/atom

---

No. 12
A geometry-optimized BaCa2LaTc structure, computed with PBE-GGA.

```
data_BaCa2LaTc
_cell_length_a 5.993
_cell_length_b 5.993
_cell_length_c 5.234
_cell_angle_alpha 90.00
_cell_angle_beta 90.00
_cell_angle_gamma 90.00
_space_group_name_H-M_alt 'P 4/m m m'
_space_group_IT_number 123
_space_group_name_Hall '-P 4 2'
loop_
_atom_site_label
_atom_site_type_symbol
_atom_site_fract_x
_atom_site_fract_y
_atom_site_fract_z
Ba1 Ba 0.000 0.000 0.000
Ca1 Ca 0.000 0.500 0.500
La1 La 0.500 0.500 0.000
Tc1 Tc 0.500 0.500 0.500
```

ρ: 4.01 g cm⁻³
density of states at the Fermi level: 7.30 states/eV per cell
total energy: -4.0586 eV per atom
formation energy from the elements: 0.185 eV per atom